[1]
This record from the Alexandria database describes a relaxed structure of LiZn3Pt. The functional is PBE.

Geometry as POSCAR:
```
LiZn3Pt
1.0
4.852 0.000 0.000
0.000 4.852 0.000
0.000 0.000 4.852
Li Zn Pt
1 3 1
Direct
0.000 0.000 0.000 Li
0.000 0.500 0.500 Zn
0.500 0.000 0.500 Zn
0.500 0.500 0.000 Zn
0.500 0.500 0.500 Pt
```

symmetry = Pm-3m

***

[2]
This record from the Alexandria database describes a relaxed structure of CrMo2C. The functional is PBE.

Geometry as POSCAR:
```
CrMo2C
1.0
-3.597 3.597 2.051
3.597 -3.597 2.051
3.597 3.597 -2.051
Cr Mo C
2 4 2
Direct
0.000 0.000 0.000 Cr
0.750 0.250 0.500 Cr
0.242 0.625 0.117 Mo
0.375 0.492 0.617 Mo
0.508 0.125 0.883 Mo
0.875 0.758 0.383 Mo
0.250 0.750 0.500 C
0.500 0.500 0.000 C
```

symmetry = I-42d

***

[3]
This record from the Alexandria database describes a relaxed structure of LuTiRuPt. The functional is PBE.

Geometry as POSCAR:
```
LuTiRuPt
1.0
0.000 3.250 3.250
3.250 0.000 3.250
3.250 3.250 0.000
Lu Ti Ru Pt
1 1 1 1
Direct
0.000 0.000 0.000 Lu
0.500 0.500 0.500 Ti
0.750 0.750 0.750 Ru
0.250 0.250 0.250 Pt
```

symmetry = F-43m

***

[4]
This record from the Alexandria database describes a relaxed structure of TbGe2PtRh2. The functional is PBE.

Geometry as POSCAR:
```
TbGe2PtRh2
1.0
4.661 0.000 0.000
0.000 4.661 0.000
0.000 0.000 5.535
Tb Ge Pt Rh
1 2 1 2
Direct
0.000 0.000 0.000 Tb
0.000 0.500 0.500 Ge
0.500 0.000 0.500 Ge
0.000 0.000 0.500 Pt
0.500 0.500 0.243 Rh
0.500 0.500 0.757 Rh
```

symmetry = P4/mmm

***

[5]
This record from the Alexandria database describes a relaxed structure of Na2YCd. The functional is PBE.

Geometry as POSCAR:
```
Na2YCd
1.0
1.688 0.974 12.289
-1.688 0.974 12.289
0.000 -1.949 12.289
Na Y Cd
2 1 1
Direct
0.092 0.092 0.092 Na
0.908 0.908 0.908 Na
0.000 0.000 0.000 Y
0.500 0.500 0.500 Cd
```

symmetry = R-3m

***

no.,magnetization (μB/f.u.),energy of formation (eV/atom)
1,0.0,-0.1455
2,0.0,0.3138
3,0.0,-0.7472
4,0.0,-0.2107
5,0.0,0.1782